! MnZnCd2, optimized geometry, DFT PBE; values from VASP
&SYSTEM
  ibrav = 0, nat = 4, ntyp = 3
/
ATOMIC_SPECIES
Mn 54.94 Mn.upf
Zn 65.41 Zn.upf
Cd 112.41 Cd.upf
ATOMIC_POSITIONS crystal
Mn 0.000 0.000 0.000
Zn 0.265 0.265 0.265
Cd 0.511 0.511 0.511
Cd 0.746 0.746 0.746
CELL_PARAMETERS angstrom
1.471 0.849 10.020
-1.471 0.849 10.020
0.000 -1.698 10.020
! Formation energy: 0.192 eV/atom